# 1
DFT (PBEsol) results for a geometry-optimized Mn2HOs structure.

Properties
The total energy is -8.0152 eV/atom.

Lattice parameters (Å, degrees): 5.526 5.526 5.526 90.00 90.00 90.00
Space group Fm-3m (No. 225)
One atom of each set of equivalent atoms:
Mn: 0.250 0.250 0.250 (multiplicity 8)
H: 0.000 0.000 0.000 (multiplicity 4)
Os: 0.000 0.000 0.500 (multiplicity 4)

***

# 2
DFT (PBEsol) results for a geometry-optimized KCa2Os structure.

Properties
The energy above the most stable polymorph in this dataset is 255 meV per atom. The value obtained for the calculated formation energy is 0.98 eV/atom.

Lattice parameters (Å, degrees): 7.395 7.395 7.395 90.00 90.00 90.00
Space group F-43m (No. 216)
One atom of each set of equivalent atoms:
K: 0.000 0.000 0.000 (multiplicity 4)
Ca: 0.000 0.000 0.500 (multiplicity 4)
Ca: 0.250 0.250 0.250 (multiplicity 4)
Os: 0.250 0.250 0.750 (multiplicity 4)

***

# 3
DFT (PBEsol) results for a geometry-optimized ZrReSi structure.

Properties
The calculation puts the formation energy from raw total energies at -2.49 eV per formula unit.

Lattice parameters (Å, degrees): 6.9339 6.9339 3.3981 90.00 90.00 120.00
Space group P-62m (No. 189)
One atom of each set of equivalent atoms:
Zr: 0.0000 0.4041 0.0000 (multiplicity 3)
Re: 0.0000 0.7453 0.5000 (multiplicity 3)
Si: 0.0000 0.0000 0.0000 (multiplicity 1)
Si: 0.3333 0.6667 0.5000 (multiplicity 2)

***

# 4
DFT (PBEsol) results for a geometry-optimized SrTaRe structure.

Properties
The energy above the most stable polymorph in this dataset is 652 meV per atom. The value obtained for the calculated formation energy is 1.40 eV/atom.

Lattice parameters (Å, degrees): 6.454 6.454 6.454 90.00 90.00 90.00
Space group F-43m (No. 216)
One atom of each set of equivalent atoms:
Sr: 0.000 0.000 0.000 (multiplicity 4)
Ta: 0.250 0.250 0.750 (multiplicity 4)
Re: 0.000 0.000 0.500 (multiplicity 4)